(1)
4
Lattice="4.133 0.000 0.000 0.000 4.292 0.000 0.000 0.000 4.863" Properties=species:S:1:pos:R:3 comment="GGA-PBEsol ZrCrPb2, relaxed" sg=Pmmm ef_kj_per_mol_fu=107 n_ef_per_ev_atom=0.84 magnetic_moment_mub_per_fu=3.289 e_tot_ev_per_atom=-6.555 vol_a3_per_atom=21.6 relative_energy_ev_per_fu=0.00 pbc="T T T"
Cr 2.067 0.000 2.432
Pb 0.000 0.000 0.000
Pb 0.000 2.146 2.432
Zr 2.067 2.146 0.000



(2)
5
Lattice="-4.128 -0.619 3.260 3.318 -0.804 4.049 0.022 5.198 1.015" Properties=species:S:1:pos:R:3 comment="GGA-PBEsol Zr3CrPb, relaxed" sg=Pm-3m ef_kj_per_mol_fu=735 n_ef_per_ev_atom=1.65 magnetic_moment_mub_per_fu=4.031 e_tot_ev_per_atom=-6.779 vol_a3_per_atom=29.7 relative_energy_ev_per_fu=5.88 pbc="T T T"
Pb 0.000 0.000 0.000
Cr -0.394 1.887 4.162
Zr 1.659 -0.402 2.024
Zr 0.011 2.599 0.507
Zr -2.064 -0.310 1.630



(3)
4
Lattice="-3.426 -1.124 -3.399 1.353 -0.875 -4.686 -0.254 -4.596 -1.835" Properties=species:S:1:pos:R:3 comment="GGA-PBEsol ZrCrPb2, relaxed" sg=Fm-3m ef_kj_per_mol_fu=150 n_ef_per_ev_atom=1.10 magnetic_moment_mub_per_fu=2.250 e_tot_ev_per_atom=-6.444 vol_a3_per_atom=21.5 relative_energy_ev_per_fu=0.44 pbc="T T T"
Pb -0.582 -1.649 -2.480
Pb -1.746 -4.946 -7.440
Cr 0.000 0.000 0.000
Zr -1.164 -3.297 -4.960



(4)
4
Lattice="3.362 0.000 0.000 0.000 5.428 0.000 -1.681 -2.714 4.767" Properties=species:S:1:pos:R:3 comment="GGA-PBEsol ZrCrPb2, relaxed" sg=Immm ef_kj_per_mol_fu=128 n_ef_per_ev_atom=0.80 magnetic_moment_mub_per_fu=2.581 e_tot_ev_per_atom=-6.501 vol_a3_per_atom=21.7 relative_energy_ev_per_fu=0.21 pbc="T T T"
Cr 1.681 0.000 0.000
Pb 1.681 2.714 2.560
Pb 0.000 0.000 2.207
Zr 0.000 2.714 0.000